[1]
# PBE H2PdNO, relaxed
data_H2PdNO
_chemical_formula_sum 'H2 Pd1 N1 O1'
_space_group_name_H-M_alt 'P 4/m m m'
_space_group_IT_number 123
_space_group_name_Hall '-P 4 2'
_cell_length_a 2.8239
_cell_length_b 2.8239
_cell_length_c 6.4458
_cell_angle_alpha 90.00
_cell_angle_beta 90.00
_cell_angle_gamma 90.00
loop_
_atom_site_label
_atom_site_fract_x
_atom_site_fract_y
_atom_site_fract_z
H1 0.0000 0.5000 0.0000
Pd1 0.0000 0.0000 0.5000
N1 0.5000 0.5000 0.0000
O1 0.5000 0.5000 0.5000
# Energy above the most stable polymorph in this dataset, meV per atom: 269
# VASP energy, eV per atom: -4.375

[2]
# PBE LaBe2Tc, relaxed
data_LaBe2Tc
_chemical_formula_sum 'La2 Be4 Tc2'
_space_group_name_H-M_alt 'I 4/m m m'
_space_group_IT_number 139
_space_group_name_Hall '-I 4 2'
_cell_length_a 4.0734
_cell_length_b 4.0734
_cell_length_c 7.6122
_cell_angle_alpha 90.00
_cell_angle_beta 90.00
_cell_angle_gamma 90.00
loop_
_atom_site_label
_atom_site_fract_x
_atom_site_fract_y
_atom_site_fract_z
La1 0.0000 0.0000 0.0000
Be1 0.0000 0.5000 0.2500
Tc1 0.0000 0.0000 0.5000
# DFT formation energy, eV/f.u.: 1.37
# Energy above the most stable polymorph in this dataset, meV per atom: 354
# VASP energy, eV per atom: -5.343

[3]
# PBE PuTiPtO6, relaxed
data_PuTiPtO6
_chemical_formula_sum 'Pu2 Ti2 Pt2 O12'
_space_group_name_H-M_alt 'P -3 1 c'
_space_group_IT_number 163
_space_group_name_Hall '-P 3 2c'
_cell_length_a 5.3462
_cell_length_b 5.3462
_cell_length_c 8.6887
_cell_angle_alpha 90.00
_cell_angle_beta 90.00
_cell_angle_gamma 120.00
loop_
_atom_site_label
_atom_site_fract_x
_atom_site_fract_y
_atom_site_fract_z
Pu1 0.3333 0.6667 0.2500
Ti1 0.3333 0.6667 0.7500
Pt1 0.0000 0.0000 0.0000
O1 0.0249 0.3454 0.6266
# Formation energy without anion corrections, eV/atom: -2.004
# VASP energy, eV per atom: -8.450

[4]
# PBE Y2TlTc, relaxed
data_Y2TlTc
_chemical_formula_sum 'Y8 Tl4 Tc4'
_space_group_name_H-M_alt 'I -4 2 d'
_space_group_IT_number 122
_space_group_name_Hall 'I -4 2bw'
_cell_length_a 8.1738
_cell_length_b 8.1738
_cell_length_c 6.1108
_cell_angle_alpha 90.00
_cell_angle_beta 90.00
_cell_angle_gamma 90.00
loop_
_atom_site_label
_atom_site_fract_x
_atom_site_fract_y
_atom_site_fract_z
Y1 0.1932 0.2500 0.1250
Tl1 0.0000 0.0000 0.5000
Tc1 0.0000 0.0000 0.0000
# DFT formation energy, eV/f.u.: 1.09
# VASP energy, eV per atom: -6.142

[5]
# PBE NaLa3Ir, relaxed
data_NaLa3Ir
_chemical_formula_sum 'Na2 La6 Ir2'
_space_group_name_H-M_alt 'P -1'
_space_group_IT_number 2
_space_group_name_Hall '-P 1'
_cell_length_a 3.9384
_cell_length_b 9.2180
_cell_length_c 9.6823
_cell_angle_alpha 100.70
_cell_angle_beta 99.57
_cell_angle_gamma 90.20
loop_
_atom_site_label
_atom_site_fract_x
_atom_site_fract_y
_atom_site_fract_z
Na1 0.0185 0.3042 0.4681
La1 0.2190 0.8417 0.9195
La2 0.3224 0.5246 0.1721
La3 0.3709 0.9204 0.2967
Ir1 0.2077 0.2678 0.9011
# DFT formation energy, eV/f.u.: -1.57
# Energy above the most stable polymorph in this dataset, meV per atom: 10
# VASP energy, eV per atom: -5.307

[6]
# PBE CrGa2Ir, relaxed
data_CrGa2Ir
_chemical_formula_sum 'Cr1 Ga2 Ir1'
_space_group_name_H-M_alt 'P 4/m m m'
_space_group_IT_number 123
_space_group_name_Hall '-P 4 2'
_cell_length_a 3.0314
_cell_length_b 3.0314
_cell_length_c 6.1575
_cell_angle_alpha 90.00
_cell_angle_beta 90.00
_cell_angle_gamma 90.00
loop_
_atom_site_label
_atom_site_fract_x
_atom_site_fract_y
_atom_site_fract_z
Cr1 0.0000 0.0000 0.0000
Ga1 0.5000 0.5000 0.2490
Ir1 0.0000 0.0000 0.5000
# DFT formation energy, eV/f.u.: -0.60
# VASP energy, eV per atom: -6.285